Density functional theory data (PBEsol) for GaPt2WS after structural relaxation.

```
5
Lattice="-4.0573 1.3781 0.9844 -0.7384 -3.7393 2.1914 1.5637 1.9052 3.7778" Properties=species:S:1:pos:R:3 pbc="T T T"
S 0.0000 0.0000 0.0000
Ga 0.7819 0.9526 1.8889
W -1.6160 -0.2280 3.4768
Pt -0.3692 -1.8697 1.0957
Pt -2.0287 0.6891 0.4922
```

The space group is P4/mmm, No. 123. As for the raw formation energy: 5.4 eV per formula unit.

---

Density functional theory data (PBEsol) for Sr2MoAu after structural relaxation.

```
4
Lattice="4.5251 0.0000 0.0000 0.0000 4.5251 0.0000 -2.2625 -2.2625 5.0942" Properties=species:S:1:pos:R:3 pbc="T T T"
Au 2.2625 2.2625 0.0000
Mo 0.0000 2.2625 2.5471
Sr 0.0000 0.0000 0.0000
Sr 2.2625 0.0000 2.5471
```

The calculated formation energy is 0.6632 eV per atom. The space group is I-4m2, No. 119.

---

Density functional theory data (PBEsol) for Zn4Mo3O12 after structural relaxation.

```
76
Lattice="5.1387 0.0000 0.0000 0.0000 10.5206 0.0000 0.0000 0.0000 17.4333" Properties=species:S:1:pos:R:3 pbc="T T T"
Zn 1.2903 2.6302 12.1489
Zn 3.8484 7.8905 5.2844
Zn 1.2791 7.8905 3.4322
Zn 3.8596 2.6302 14.0011
Zn 1.2658 0.8236 9.1947
Zn 3.8729 9.6970 8.2386
Zn 1.3035 9.6970 0.4780
Zn 3.8729 6.0839 8.2386
Zn 3.8352 0.8236 16.9553
Zn 1.2658 4.4367 9.1947
Zn 3.8352 4.4367 16.9553
Zn 1.3035 6.0839 0.4780
Zn 0.5024 2.6302 4.3558
Zn 4.6363 7.8905 13.0776
Zn 2.0670 7.8905 13.0724
Zn 3.0717 2.6302 4.3609
Mo 1.4245 2.6302 0.9814
Mo 3.7142 7.8905 16.4520
Mo 1.1448 7.8905 9.6981
Mo 3.9939 2.6302 7.7353
Mo 1.4450 5.5677 5.9614
Mo 3.6937 4.9529 11.4719
Mo 1.1243 4.9529 14.6781
Mo 3.6937 0.3074 11.4719
Mo 4.0144 5.5677 2.7553
Mo 1.4450 10.2132 5.9614
Mo 4.0144 10.2132 2.7553
Mo 1.1243 0.3074 14.6781
O 0.4082 0.0822 7.4030
O 4.7305 10.4384 10.0303
O 2.1612 10.4384 16.1197
O 4.7305 5.3425 10.0303
O 2.9775 0.0822 1.3136
O 0.4082 5.1781 7.4030
O 2.9775 5.1781 1.3136
O 2.1612 5.3425 16.1197
O 0.3454 6.5886 4.9341
O 4.7933 3.9320 12.4992
O 2.2239 3.9320 13.6508
O 4.7933 1.3283 12.4992
O 2.9148 6.5886 3.7825
O 0.3454 9.1923 4.9341
O 2.9148 9.1923 3.7825
O 2.2239 1.3283 13.6508
O 0.3927 1.1891 0.6647
O 4.7460 9.3315 16.7687
O 2.1767 9.3315 9.3813
O 4.7460 6.4494 16.7687
O 2.9620 1.1891 8.0520
O 0.3927 4.0712 0.6647
O 2.9620 4.0712 8.0520
O 2.1767 6.4494 9.3813
O 1.7910 2.6302 2.7312
O 3.3477 7.8905 14.7021
O 0.7783 7.8905 11.4479
O 4.3604 2.6302 5.9854
O 1.7864 1.2457 5.1308
O 3.3523 9.2749 12.3026
O 0.7830 9.2749 13.8474
O 3.3523 6.5060 12.3026
O 4.3557 1.2457 3.5859
O 1.7864 4.0146 5.1308
O 4.3557 4.0146 3.5859
O 0.7830 6.5060 13.8474
O 0.2648 2.6302 8.9013
O 4.8739 7.8905 8.5320
O 2.3045 7.8905 0.1846
O 2.8342 2.6302 17.2487
O 0.3068 6.5385 2.1811
O 4.8319 3.9821 15.2523
O 2.2625 3.9821 10.8978
O 4.8319 1.2782 15.2523
O 2.8762 6.5385 6.5356
O 0.3068 9.2424 2.1811
O 2.8762 9.2424 6.5356
O 2.2625 1.2782 10.8978
```

The space group is Pnma, No. 62. As for the raw formation energy: -31.3 eV per formula unit.

---

Density functional theory data (PBEsol) for CaLaPb2 after structural relaxation.

```
4
Lattice="-3.3215 0.6520 -1.3984 -1.7663 -2.6357 -1.8293 -6.0955 -3.9132 7.8576" Properties=species:S:1:pos:R:3 pbc="T T T"
Ca -5.5917 -2.9485 2.3149
La 0.0000 0.0000 0.0000
Pb -2.8330 -1.5017 1.2330
Pb -8.3503 -4.3952 3.3969
```

The calculated formation energy is -0.4243 eV per atom. The space group is R-3m, No. 166.

---

Density functional theory data (PBEsol) for Zn22Tc after structural relaxation.

```
46
Lattice="-8.4454 -3.9050 2.6585 -4.8137 -5.7457 -6.1201 -0.6030 -9.4996 1.7425" Properties=species:S:1:pos:R:3 pbc="T T T"
Tc -3.4655 -4.7876 -0.4298
Tc 0.0000 0.0000 0.0000
Zn -4.8941 -6.9965 0.8308
Zn -8.4891 -11.2876 -3.7400
Zn -10.0991 -7.9192 0.0775
Zn -4.2421 -12.0974 -0.6067
Zn -9.0030 -8.8963 2.1242
Zn -6.2907 -10.2711 -4.4320
Zn -6.4405 -13.1139 0.0854
Zn -5.9901 -6.0193 -1.2160
Zn -5.1874 -11.6182 1.6785
Zn -8.3322 -8.8147 -4.1936
Zn -3.9487 -7.4756 -1.4544
Zn -10.2560 -10.3920 0.5310
Zn -8.8386 -12.6503 1.5910
Zn -7.6199 -11.1957 3.1404
Zn -6.6256 -6.5191 -3.9689
Zn -4.6402 -7.9355 -4.2008
Zn -7.0717 -13.5459 -2.6801
Zn -4.9336 -12.5573 -3.3531
Zn -7.3265 -6.5739 2.2926
Zn -8.3925 -5.6236 0.3021
Zn -10.8872 -10.8240 -2.2344
Zn -10.7345 -8.4190 -2.6755
Zn -2.5916 -9.7618 -0.3755
Zn -3.5110 -9.2958 1.8470
Zn -12.1849 -14.3841 -2.0247
Zn -8.6084 -14.3414 -0.5541
Zn -9.9687 -15.9651 -2.2836
Zn -10.8246 -12.7604 -0.2952
Zn -9.7983 -13.2806 -2.7760
Zn -10.9950 -15.4449 0.1972
Zn -6.5031 -11.1775 -1.8538
Zn -7.3590 -7.9728 0.1346
Zn -8.7193 -9.5965 -1.5949
Zn -5.1428 -9.5538 -0.1243
Zn -7.5294 -10.6573 0.6270
Zn -6.3327 -8.4930 -2.3462
Zn -4.1396 -5.2667 -3.2750
Zn -1.7328 -2.3938 -0.2149
Zn -2.0343 -7.1436 0.6563
Zn -5.9555 -4.3463 1.1143
Zn -6.2570 -9.0961 1.9856
Zn -8.6639 -11.9689 -1.0745
Zn -8.3623 -7.2192 -1.9457
Zn -4.4411 -10.0164 -2.4037
```

The calculated formation energy is 0.0471 eV per atom. The space group is Fd-3m, No. 227.

---

Density functional theory data (PBEsol) for SrTePb2 after structural relaxation.

```
4
Lattice="5.5927 0.0000 0.0000 2.7964 4.8435 0.0000 2.7964 1.6145 4.5665" Properties=species:S:1:pos:R:3 pbc="T T T"
Pb 0.0000 0.0000 0.0000
Pb 8.3891 4.8435 3.4248
Sr 5.5927 3.2290 2.2832
Te 2.7964 1.6145 1.1416
```

The space group is F-43m, No. 216. As for the raw formation energy: -1.8 eV per formula unit.

---

Density functional theory data (PBEsol) for Ho5Si3 after structural relaxation.

```
16
Lattice="-5.1173 0.9521 3.4017 2.0680 -6.3847 4.8980 2.6404 7.6630 1.8272" Properties=species:S:1:pos:R:3 pbc="T T T"
Ho 2.2588 -1.7022 3.8744
Ho -0.1090 3.4565 4.5517
Ho 2.4496 2.9804 2.8508
Ho -0.2998 -1.2261 5.5753
Ho -0.2721 1.6822 7.6446
Ho -3.1972 2.5736 2.9947
Ho -3.3361 -0.8353 3.7398
Ho -0.1368 0.5482 2.4824
Ho 0.7203 6.0415 2.2343
Ho 0.2869 -4.5974 4.5599
Si -1.9775 1.2191 5.2086
Si -2.2409 5.3492 3.6565
Si -2.5870 -3.1479 5.5139
Si 1.5687 1.0112 4.9184
Si -0.2360 3.2659 1.5724
Si -0.4622 -2.2848 2.7858
```

The space group is P6_3/mcm, No. 193. As for the raw formation energy: -5.8 eV per formula unit.

---

Density functional theory data (PBEsol) for LuPPd after structural relaxation.

```
12
Lattice="-2.6806 0.6786 2.7477 0.0451 -6.4715 1.6423 5.5046 1.3186 5.0446" Properties=species:S:1:pos:R:3 pbc="T T T"
P 0.0688 -0.6098 4.3656
P -1.2923 -4.1770 3.9187
P 2.8003 -3.8645 5.0690
P 4.1614 -0.2973 5.5159
Lu 0.3706 -2.6174 2.3906
Lu 1.7629 1.2080 5.5693
Lu 1.1062 -5.6824 3.8652
Lu 2.4985 -1.8569 7.0440
Pd -1.6663 -0.3462 2.6078
Pd 0.4332 -3.0844 5.3323
Pd 2.4359 -1.3899 4.1023
Pd 4.5353 -4.1282 6.8268
```

The calculated formation energy is -1.3376 eV per atom. The space group is Pnma, No. 62.

---

Density functional theory data (PBEsol) for La2NiPt after structural relaxation.

```
4
Lattice="-0.3725 1.9833 3.3542 2.9916 -2.6221 1.8826 4.0930 2.3559 -3.2226" Properties=species:S:1:pos:R:3 pbc="T T T"
Ni 1.4314 2.3778 1.0372
Pt 1.6458 -0.0313 2.4854
La 3.6165 4.2501 0.1727
La 3.5253 0.4280 0.1384
```

The calculated formation energy is -0.6955 eV per atom. The space group is Amm2, No. 38.

---

Density functional theory data (PBEsol) for CdHgAu2 after structural relaxation.

```
4
Lattice="-1.0009 1.4364 2.7833 0.0131 -4.2474 2.1968 5.0183 1.6529 -0.9908" Properties=species:S:1:pos:R:3 pbc="T T T"
Au 0.1038 -3.9753 2.0890
Au 1.6733 0.5724 2.2486
Hg 2.3716 -2.2016 1.9891
Cd 4.4192 0.4465 1.3587
```

The calculated formation energy is -0.0512 eV per atom. The space group is Cm, No. 8.

---

Density functional theory data (PBEsol) for Ca2TaBRu after structural relaxation.

```
5
Lattice="3.9655 0.0000 0.0000 0.0000 5.0403 0.0000 0.0000 0.0000 5.0403" Properties=species:S:1:pos:R:3 pbc="T T T"
Ru 1.9828 0.0000 0.0000
Ca 0.0000 0.0000 2.5201
Ca 0.0000 2.5201 0.0000
B 0.0000 0.0000 0.0000
Ta 1.9828 2.5201 2.5201
```

The calculated formation energy is 0.8385 eV per atom. The space group is P4/mmm, No. 123.

---

Density functional theory data (PBEsol) for PtCl3 after structural relaxation.

```
4
Lattice="3.2977 0.0000 0.0000 1.6489 5.4144 0.0617 1.6489 2.3188 4.8932" Properties=species:S:1:pos:R:3 pbc="T T T"
Pt 1.6489 3.8666 2.4774
Cl 3.2977 5.2108 3.3387
Cl 3.2977 2.5225 1.6162
Cl 1.6489 0.0000 0.0000
```

The space group is Immm, No. 71. As for the raw formation energy: -0.1 eV per formula unit.

---

no.,total moment (μB/atom),V (Å³ per cell),uncorrected energy (eV for the cell shown)
1,0.337,87.2,-30.08
2,0.815,104.3,-16.72
3,0.025,942.5,-543.79
4,0.000,121.7,-17.17
5,0.000,640.7,-89.97
6,0.000,123.7,-15.21
7,0.000,371.7,-95.64
8,0.000,197.3,-82.54
9,0.000,92.5,-26.60
10,0.000,74.7,-9.82
11,0.554,100.7,-29.81
12,0.149,86.9,-13.11